LiTlAg2 PBE-GGA relaxed; E = -2.568 eV per atom; DOS at the Fermi energy = 0.93 states/eV/cell; formation enthalpy at 0 K = -0.072 eV per atom; magnetization = 0.000 μB/atom
1.0
5.1264 -1.6026 0.0000
5.1264 1.6026 0.0000
-1.5504 0.0000 4.6550
Li Tl Ag
1 1 2
Direct
0.0000 0.0000 0.0000 Li
0.5000 0.5000 0.5000 Tl
0.2656 0.2656 0.7672 Ag
0.7344 0.7344 0.2328 Ag